An optimized crystal structure of AgMoAsBr2, computed with PBE.

Calculated values
- Formation energy from raw total energies: 1.91 eV per formula unit
- Excess energy over the best structure of this formula in the dataset: 0.000 eV/atom
- Total energy: -19.8 eV/f.u.
- ρ: 5289 kg/m3

The structure in CIF format:
```
data_AgMoAsBr2
_cell_length_a 5.320
_cell_length_b 5.320
_cell_length_c 4.865
_cell_angle_alpha 90.00
_cell_angle_beta 90.00
_cell_angle_gamma 90.00
_space_group_name_H-M_alt 'P 4/m m m'
_space_group_IT_number 123
_space_group_name_Hall '-P 4 2'
loop_
_atom_site_label
_atom_site_type_symbol
_atom_site_fract_x
_atom_site_fract_y
_atom_site_fract_z
Ag1 Ag 0.000 0.000 0.000
Mo1 Mo 0.500 0.500 0.500
As1 As 0.500 0.500 0.000
Br1 Br 0.000 0.500 0.500
```